Record 1
VASP calculation (PBE) on an optimized crystal structure of Pm12ZnRh7.

Cell and atoms, written as CIF:
```
data_Pm12ZnRh7
_symmetry_space_group_name_H-M 'P 1'
_symmetry_Int_Tables_number 1
_cell_length_a 9.0422
_cell_length_b 9.0422
_cell_length_c 9.0422
_cell_angle_alpha 110.34
_cell_angle_beta 110.34
_cell_angle_gamma 110.34
loop_
_symmetry_equiv_pos_as_xyz
'x,y,z'
loop_
_atom_site_label
_atom_site_fract_x
_atom_site_fract_y
_atom_site_fract_z
_atom_site_occupancy
Pm1 0.1178 0.6600 0.2643 1
Pm2 0.3400 0.7357 0.8822 1
Pm3 0.8822 0.3400 0.7357 1
Pm4 0.2643 0.1178 0.6600 1
Pm5 0.6028 0.8879 0.6859 1
Pm6 0.3141 0.3972 0.1121 1
Pm7 0.1121 0.3141 0.3972 1
Pm8 0.8879 0.6859 0.6028 1
Pm9 0.7357 0.8822 0.3400 1
Pm10 0.3972 0.1121 0.3141 1
Pm11 0.6600 0.2643 0.1178 1
Pm12 0.6859 0.6028 0.8879 1
Rh1 0.0339 0.9352 0.2722 1
Rh2 0.9661 0.0648 0.7278 1
Rh3 0.0648 0.7278 0.9661 1
Rh4 0.9352 0.2722 0.0339 1
Rh5 0.7278 0.9661 0.0648 1
Rh6 0.2722 0.0339 0.9352 1
Rh7 0.5000 0.5000 0.5000 1
Zn1 0.0000 0.0000 0.0000 1
```

---

Record 2
# PBE Pm6PdRu2, relaxed
data_Pm6PdRu2
_symmetry_space_group_name_H-M 'P 1'
_symmetry_Int_Tables_number 1
_cell_length_a 4.3531
_cell_length_b 7.2413
_cell_length_c 10.3596
_cell_angle_alpha 123.11
_cell_angle_beta 90.00
_cell_angle_gamma 107.49
loop_
_symmetry_equiv_pos_as_xyz
'x,y,z'
loop_
_atom_site_label
_atom_site_fract_x
_atom_site_fract_y
_atom_site_fract_z
_atom_site_occupancy
Pm1 0.3523 0.7046 0.4707 1
Pm2 0.0114 0.0228 0.1939 1
Pm3 0.2740 0.5479 0.8778 1
Pm4 0.9886 0.9772 0.8061 1
Pm5 0.7260 0.4521 0.1222 1
Pm6 0.6477 0.2954 0.5293 1
Ru1 0.3971 0.7942 0.2295 1
Ru2 0.6029 0.2058 0.7705 1
Pd1 0.0000 0.0000 0.5000 1
# E above lowest polymorph = 0.443 eV per formula unit

---

Record 3
VASP calculation (PBE) on an optimized crystal structure of GdYBeAg.

Cell and atoms, written as CIF:
```
data_GdYBeAg
_symmetry_space_group_name_H-M 'P 1'
_symmetry_Int_Tables_number 1
_cell_length_a 5.0501
_cell_length_b 5.0501
_cell_length_c 5.0501
_cell_angle_alpha 60.00
_cell_angle_beta 60.00
_cell_angle_gamma 60.00
loop_
_symmetry_equiv_pos_as_xyz
'x,y,z'
loop_
_atom_site_label
_atom_site_fract_x
_atom_site_fract_y
_atom_site_fract_z
_atom_site_occupancy
Ag1 0.0000 0.0000 0.0000 1
Be1 0.5000 0.5000 0.5000 1
Y1 0.7500 0.7500 0.7500 1
Gd1 0.2500 0.2500 0.2500 1
```

---

Record 4
# PBE Mn2InPb, relaxed
data_Mn2InPb
_symmetry_space_group_name_H-M 'P 1'
_symmetry_Int_Tables_number 1
_cell_length_a 5.5330
_cell_length_b 5.5330
_cell_length_c 5.5330
_cell_angle_alpha 136.68
_cell_angle_beta 136.68
_cell_angle_gamma 62.93
loop_
_symmetry_equiv_pos_as_xyz
'x,y,z'
loop_
_atom_site_label
_atom_site_fract_x
_atom_site_fract_y
_atom_site_fract_z
_atom_site_occupancy
Mn1 0.2500 0.7500 0.5000 1
Mn2 0.0000 0.0000 0.0000 1
In1 0.7500 0.2500 0.5000 1
Pb1 0.5000 0.5000 0.0000 1
# E above lowest polymorph = 0.418 eV per formula unit

---

Record 5
# PBE KZn2Os, relaxed
data_KZn2Os
_symmetry_space_group_name_H-M 'P 1'
_symmetry_Int_Tables_number 1
_cell_length_a 4.0110
_cell_length_b 2.7015
_cell_length_c 7.8276
_cell_angle_alpha 70.03
_cell_angle_beta 90.00
_cell_angle_gamma 90.00
loop_
_symmetry_equiv_pos_as_xyz
'x,y,z'
loop_
_atom_site_label
_atom_site_fract_x
_atom_site_fract_y
_atom_site_fract_z
_atom_site_occupancy
Zn1 0.0000 0.0830 0.9180 1
Zn2 0.0000 0.4170 0.5820 1
K1 0.5000 0.2500 0.2500 1
Os1 0.5000 0.7500 0.7500 1
# E above lowest polymorph = 0.000 eV per formula unit

---

Record 6
VASP calculation (PBE) on an optimized crystal structure of Tb5Sm2DyTh.

Cell and atoms, written as CIF:
```
data_Tb5Sm2DyTh
_symmetry_space_group_name_H-M 'P 1'
_symmetry_Int_Tables_number 1
_cell_length_a 5.7357
_cell_length_b 11.1676
_cell_length_c 9.7838
_cell_angle_alpha 90.00
_cell_angle_beta 90.00
_cell_angle_gamma 104.88
loop_
_symmetry_equiv_pos_as_xyz
'x,y,z'
loop_
_atom_site_label
_atom_site_fract_x
_atom_site_fract_y
_atom_site_fract_z
_atom_site_occupancy
Tb1 0.4697 0.9393 0.7426 1
Tb2 0.3049 0.6098 0.7159 1
Tb3 0.5303 0.0607 0.2426 1
Tb4 0.2711 0.5423 0.3257 1
Tb5 0.0147 0.0294 0.0162 1
Tb6 0.9853 0.9706 0.5162 1
Tb7 0.6951 0.3902 0.2159 1
Tb8 0.6022 0.2044 0.5422 1
Tb9 0.3978 0.7956 0.0422 1
Tb10 0.7289 0.4577 0.8257 1
Sm1 0.1294 0.2587 0.7112 1
Sm2 0.1152 0.2304 0.3285 1
Sm3 0.8848 0.7696 0.8285 1
Sm4 0.8706 0.7413 0.2112 1
Th1 0.4048 0.8097 0.4247 1
Th2 0.5952 0.1903 0.9247 1
Dy1 0.8100 0.6199 0.5168 1
Dy2 0.1900 0.3801 0.0168 1
```

---

Number 1: energy relative to the elements -1002.2 kJ/mol of formula units. Number 2: energy relative to the elements -235.8 kJ/mol of formula units. Number 3: energy relative to the elements -20.4 kJ/mol of formula units. Number 4: energy relative to the elements 146.7 kJ/mol of formula units. Number 5: energy relative to the elements 159.5 kJ/mol of formula units. Number 6: energy relative to the elements 138.6 kJ/mol of formula units.